No. 1
DFT (PBE) results for a relaxed ReSeBr2 crystal.

CIF file:
```
data_ReSeBr2
_chemical_formula_sum 'Re1 Se1 Br2'
_cell_length_a 7.4004
_cell_length_b 7.4004
_cell_length_c 3.6378
_cell_angle_alpha 90.00
_cell_angle_beta 90.00
_cell_angle_gamma 142.60
_space_group_name_H-M_alt 'P 1'
_space_group_IT_number 1
_space_group_name_Hall 'P 1'
loop_
_atom_site_label
_atom_site_fract_x
_atom_site_fract_y
_atom_site_fract_z
_atom_site_occupancy
Re1 0.0000 0.0000 0.0000 1
Se1 0.5000 0.5000 0.0000 1
Br1 0.1325 0.8675 0.5000 1
Br2 0.8675 0.1325 0.5000 1
```

Summary:
* excess energy over the best structure of this formula in the dataset: 0.0 meV/atom
* formation energy from raw total energies: 0.04 eV/atom
* V: 30.25 A^3/atom



No. 2
DFT (PBE) results for a relaxed AcMgAlTl crystal.

CIF file:
```
data_AcMgAlTl
_chemical_formula_sum 'Ac1 Mg1 Al1 Tl1'
_cell_length_a 5.4144
_cell_length_b 5.4144
_cell_length_c 5.4144
_cell_angle_alpha 60.00
_cell_angle_beta 60.00
_cell_angle_gamma 60.00
_space_group_name_H-M_alt 'P 1'
_space_group_IT_number 1
_space_group_name_Hall 'P 1'
loop_
_atom_site_label
_atom_site_fract_x
_atom_site_fract_y
_atom_site_fract_z
_atom_site_occupancy
Ac1 0.0000 0.0000 0.0000 1
Mg1 0.5000 0.5000 0.5000 1
Al1 0.2500 0.2500 0.2500 1
Tl1 0.7500 0.7500 0.7500 1
```

Summary:
* final energy: -3.09 eV/atom
* V: 28.06 A^3/atom



No. 3
DFT (PBE) results for a relaxed Ca2AlOs crystal.

CIF file:
```
data_Ca2AlOs
_chemical_formula_sum 'Ca2 Al1 Os1'
_cell_length_a 5.6038
_cell_length_b 5.6038
_cell_length_c 2.8823
_cell_angle_alpha 90.00
_cell_angle_beta 90.00
_cell_angle_gamma 111.03
_space_group_name_H-M_alt 'P 1'
_space_group_IT_number 1
_space_group_name_Hall 'P 1'
loop_
_atom_site_label
_atom_site_fract_x
_atom_site_fract_y
_atom_site_fract_z
_atom_site_occupancy
Ca1 0.0000 0.5000 0.0000 1
Ca2 0.5000 0.0000 0.0000 1
Al1 0.0000 0.0000 0.5000 1
Os1 0.5000 0.5000 0.5000 1
```

Summary:
* final energy: -4.39 eV/atom
* V: 21.12 A^3/atom



No. 4
DFT (PBE) results for a relaxed AcY2HoS6 crystal.

CIF file:
```
data_AcY2HoS6
_chemical_formula_sum 'Ac1 Y2 Ho1 S6'
_cell_length_a 7.4358
_cell_length_b 7.4358
_cell_length_c 7.4358
_cell_angle_alpha 56.83
_cell_angle_beta 56.83
_cell_angle_gamma 56.83
_space_group_name_H-M_alt 'P 1'
_space_group_IT_number 1
_space_group_name_Hall 'P 1'
loop_
_atom_site_label
_atom_site_fract_x
_atom_site_fract_y
_atom_site_fract_z
_atom_site_occupancy
Ac1 0.0000 0.0000 0.0000 1
Y1 0.2823 0.2823 0.2823 1
Y2 0.7898 0.7898 0.7898 1
Ho1 0.4856 0.4856 0.4856 1
S1 0.0781 0.6471 0.4281 1
S2 0.1888 0.5741 0.8869 1
S3 0.4281 0.0781 0.6471 1
S4 0.5741 0.8869 0.1888 1
S5 0.6471 0.4281 0.0781 1
S6 0.8869 0.1888 0.5741 1
```

Summary:
* formation energy from raw total energies: -2.08 eV/atom
* V: 26.94 A^3/atom



No. 5
DFT (PBE) results for a relaxed BaI2NO crystal.

CIF file:
```
data_BaI2NO
_chemical_formula_sum 'Ba1 I2 N1 O1'
_cell_length_a 7.2440
_cell_length_b 7.2440
_cell_length_c 4.5267
_cell_angle_alpha 90.00
_cell_angle_beta 90.00
_cell_angle_gamma 90.00
_space_group_name_H-M_alt 'P 1'
_space_group_IT_number 1
_space_group_name_Hall 'P 1'
loop_
_atom_site_label
_atom_site_fract_x
_atom_site_fract_y
_atom_site_fract_z
_atom_site_occupancy
Ba1 0.0000 0.0000 0.0000 1
I1 0.0000 0.5000 0.0000 1
I2 0.5000 0.0000 0.0000 1
N1 0.5000 0.5000 0.5000 1
O1 0.0000 0.0000 0.5000 1
```

Summary:
* excess energy over the best structure of this formula in the dataset: 277.6 meV/atom
* formation energy from raw total energies: 0.43 eV/atom
* V: 47.51 A^3/atom



No. 6
DFT (PBE) results for a relaxed Tl2BiTe3 crystal.

CIF file:
```
data_Tl2BiTe3
_chemical_formula_sum 'Tl4 Bi2 Te6'
_cell_length_a 8.0434
_cell_length_b 8.0434
_cell_length_c 7.8617
_cell_angle_alpha 99.94
_cell_angle_beta 99.94
_cell_angle_gamma 118.47
_space_group_name_H-M_alt 'P 1'
_space_group_IT_number 1
_space_group_name_Hall 'P 1'
loop_
_atom_site_label
_atom_site_fract_x
_atom_site_fract_y
_atom_site_fract_z
_atom_site_occupancy
Tl1 0.0855 0.9145 0.7500 1
Tl2 0.2485 0.7515 0.2500 1
Tl3 0.7515 0.2485 0.7500 1
Tl4 0.9145 0.0855 0.2500 1
Bi1 0.4200 0.5800 0.7500 1
Bi2 0.5800 0.4200 0.2500 1
Te1 0.0000 0.5000 0.5000 1
Te2 0.1923 0.3466 0.0027 1
Te3 0.3466 0.1923 0.5027 1
Te4 0.5000 0.0000 0.0000 1
Te5 0.6534 0.8077 0.4973 1
Te6 0.8077 0.6534 0.9973 1
```

Summary:
* formation energy from raw total energies: -0.23 eV/atom
* V: 35.07 A^3/atom